A plane-wave DFT calculation with PBE was carried out for Cs2Cu2Mo3 after structural relaxation.

As for the electronic total energy: -5.16 eV per atom. The total magnetic moment is 0.1 μB/f.u. Its space group is R3m, No. 160. The crystal system is trigonal.

a b c (Å): 4.3919 4.3919 11.1174
angles (deg): 78.61 78.61 60.00
Sites, in units of the cell vectors:
Cs 0.2531 0.2531 0.2408
Cs 0.8296 0.8296 0.5113
Cu 0.9864 0.9864 0.0408
Cu 0.4389 0.4389 0.6833
Mo 0.0641 0.0641 0.8078
Mo 0.3645 0.3645 0.9066
Mo 0.6886 0.6886 0.9343